Compound: KHg
Source: Alexandria
Functional: meta-GGA SCAN
Structure: single point on PBEsol structure

The structure belongs to space group Fd-3m (No. 227, origin choice 2); the cell edges are 7.926, 7.926 and 7.926 Å and the angles 90.00°, 90.00° and 90.00°. The inequivalent atoms are K at (0.125, 0.125, 0.125) and Hg at (0.125, 0.125, 0.625).

The calculation puts the density of states at the Fermi level at 0.714 states/eV/atom. Its formation energy is -232 meV/atom.


Compound: K2LaHg
Source: Alexandria
Functional: meta-GGA SCAN
Structure: single point on PBEsol structure

The structure belongs to space group Pm (No. 6); the cell edges are 3.985, 3.986 and 11.207 Å and the angles 90.00°, 90.13° and 90.00°. The inequivalent atoms are K at (0.000, 0.000, 0.000), K at (0.494, 0.500, 0.357), La at (0.996, 0.000, 0.659) and Hg at (0.497, 0.500, 0.786).

The calculation puts the density of states at the Fermi level at 0.749 states/eV/atom. Its formation energy is -182 meV/atom.


Compound: KLaHg
Source: Alexandria
Functional: meta-GGA SCAN
Structure: single point on PBEsol structure

The structure belongs to space group F-43m (No. 216); the cell edges are 7.440, 7.440 and 7.440 Å and the angles 90.00°, 90.00° and 90.00°. The inequivalent atoms are K at (0.000, 0.000, 0.000), La at (0.250, 0.250, 0.750) and Hg at (0.000, 0.000, 0.500).

The value obtained for the distance to the lowest polymorph of the same formula is 473 meV/atom. The calculation puts the density of states at the Fermi level at 1.853 states/eV/atom. Its formation energy is 228 meV/atom.


Compound: KLaHg2
Source: Alexandria
Functional: meta-GGA SCAN
Structure: single point on PBEsol structure

The structure belongs to space group R-3m (No. 166, hexagonal axes); the cell edges are 3.9819, 3.9819 and 29.0112 Å and the angles 90.00°, 90.00° and 120.00°. The inequivalent atoms are K at (0.0000, 0.0000, 0.0000), La at (0.0000, 0.0000, 0.5000) and Hg at (0.0000, 0.0000, 0.2421).

The calculation puts the density of states at the Fermi level at 0.629 states/eV/atom. Its formation energy is -328 meV/atom.